1.
# CeDySnHg, optimized geometry, DFT PBE
data_CeDySnHg
_cell_length_a 7.5857
_cell_length_b 7.5857
_cell_length_c 7.5857
_cell_angle_alpha 90.00
_cell_angle_beta 90.00
_cell_angle_gamma 90.00
_symmetry_space_group_name_H-M 'F -4 3 m'
_symmetry_Int_Tables_number 216
_symmetry_space_group_name_Hall 'F -4 2 3'
loop_
_atom_site_label
_atom_site_type_symbol
_atom_site_fract_x
_atom_site_fract_y
_atom_site_fract_z
Ce1 Ce 0.0000 0.0000 0.0000
Dy1 Dy 0.0000 0.0000 0.5000
Sn1 Sn 0.2500 0.2500 0.7500
Hg1 Hg 0.2500 0.2500 0.2500
# * density: 9463 kg/m³
# * M_tot: 4.7 Bohr magnetons per cell
# * ΔH_f (0 K): -49 kJ per mole of atoms



2.
# CeDySnHg, optimized geometry, DFT PBE
data_CeDySnHg
_cell_length_a 3.4979
_cell_length_b 3.4979
_cell_length_c 8.6817
_cell_angle_alpha 90.00
_cell_angle_beta 90.00
_cell_angle_gamma 90.00
_symmetry_space_group_name_H-M 'P 4 m m'
_symmetry_Int_Tables_number 99
loop_
_symmetry_equiv_pos_as_xyz
'x,y,z'
'-y,x,z'
'-x,-y,z'
'y,-x,z'
'-x,y,z'
'y,x,z'
'x,-y,z'
'-y,-x,z'
loop_
_atom_site_label
_atom_site_type_symbol
_atom_site_fract_x
_atom_site_fract_y
_atom_site_fract_z
Ce1 Ce 0.0000 0.0000 0.0000
Dy1 Dy 0.0000 0.0000 0.4940
Sn1 Sn 0.5000 0.5000 0.7394
Hg1 Hg 0.5000 0.5000 0.2543
# * density: 9722 kg/m³
# * M_tot: 1.0 Bohr magnetons per cell
# * ΔH_f (0 K): -48 kJ per mole of atoms



3.
# TbCeDy2Hg4, optimized geometry, DFT PBE
data_TbCeDy2Hg4
_cell_length_a 5.3045
_cell_length_b 5.3045
_cell_length_c 26.0850
_cell_angle_alpha 90.00
_cell_angle_beta 90.00
_cell_angle_gamma 120.00
_symmetry_space_group_name_H-M 'R -3 m'
_symmetry_Int_Tables_number 166
_symmetry_space_group_name_Hall '-R 3 2"'
loop_
_atom_site_label
_atom_site_type_symbol
_atom_site_fract_x
_atom_site_fract_y
_atom_site_fract_z
Tb1 Tb 0.0000 0.0000 0.0000
Ce1 Ce 0.0000 0.0000 0.5000
Dy1 Dy 0.0000 0.0000 0.2495
Hg1 Hg 0.0000 0.0000 0.1225
Hg2 Hg 0.0000 0.0000 0.3730
# * density: 11179 kg/m³
# * M_tot: 5.8 Bohr magnetons per cell
# * ΔH_f (0 K): -41 kJ per mole of atoms



4.
# TbCeDyHg, optimized geometry, DFT PBE
data_TbCeDyHg
_cell_length_a 7.5724
_cell_length_b 7.5724
_cell_length_c 7.5724
_cell_angle_alpha 90.00
_cell_angle_beta 90.00
_cell_angle_gamma 90.00
_symmetry_space_group_name_H-M 'F -4 3 m'
_symmetry_Int_Tables_number 216
_symmetry_space_group_name_Hall 'F -4 2 3'
loop_
_atom_site_label
_atom_site_type_symbol
_atom_site_fract_x
_atom_site_fract_y
_atom_site_fract_z
Tb1 Tb 0.0000 0.0000 0.0000
Ce1 Ce 0.2500 0.2500 0.2500
Dy1 Dy 0.0000 0.0000 0.5000
Hg1 Hg 0.2500 0.2500 0.7500
# * density: 10129 kg/m³
# * M_tot: 11.9 Bohr magnetons per cell
# * ΔH_f (0 K): 1 kJ per mole of atoms



5.
# CeDyTcHg, optimized geometry, DFT PBE
data_CeDyTcHg
_cell_length_a 7.1916
_cell_length_b 7.1916
_cell_length_c 7.1916
_cell_angle_alpha 90.00
_cell_angle_beta 90.00
_cell_angle_gamma 90.00
_symmetry_space_group_name_H-M 'F -4 3 m'
_symmetry_Int_Tables_number 216
_symmetry_space_group_name_Hall 'F -4 2 3'
loop_
_atom_site_label
_atom_site_type_symbol
_atom_site_fract_x
_atom_site_fract_y
_atom_site_fract_z
Ce1 Ce 0.0000 0.0000 0.0000
Dy1 Dy 0.0000 0.0000 0.5000
Tc1 Tc 0.2500 0.2500 0.7500
Hg1 Hg 0.2500 0.2500 0.2500
# * density: 10736 kg/m³
# * M_tot: 0.0 Bohr magnetons per cell
# * ΔH_f (0 K): -10 kJ per mole of atoms



6.
# CeDyTmHg, optimized geometry, DFT PBE
data_CeDyTmHg
_cell_length_a 7.4890
_cell_length_b 7.4890
_cell_length_c 7.4890
_cell_angle_alpha 90.00
_cell_angle_beta 90.00
_cell_angle_gamma 90.00
_symmetry_space_group_name_H-M 'F -4 3 m'
_symmetry_Int_Tables_number 216
_symmetry_space_group_name_Hall 'F -4 2 3'
loop_
_atom_site_label
_atom_site_type_symbol
_atom_site_fract_x
_atom_site_fract_y
_atom_site_fract_z
Ce1 Ce 0.0000 0.0000 0.0000
Dy1 Dy 0.2500 0.2500 0.7500
Tm1 Tm 0.2500 0.2500 0.2500
Hg1 Hg 0.0000 0.0000 0.5000
# * density: 10629 kg/m³
# * M_tot: 2.5 Bohr magnetons per cell
# * ΔH_f (0 K): 2 kJ per mole of atoms



7.
# CeDyTm2Hg4, optimized geometry, DFT PBE
data_CeDyTm2Hg4
_cell_length_a 5.2666
_cell_length_b 5.2666
_cell_length_c 25.9454
_cell_angle_alpha 90.00
_cell_angle_beta 90.00
_cell_angle_gamma 120.00
_symmetry_space_group_name_H-M 'R -3 m'
_symmetry_Int_Tables_number 166
_symmetry_space_group_name_Hall '-R 3 2"'
loop_
_atom_site_label
_atom_site_type_symbol
_atom_site_fract_x
_atom_site_fract_y
_atom_site_fract_z
Ce1 Ce 0.0000 0.0000 0.0000
Dy1 Dy 0.0000 0.0000 0.5000
Tm1 Tm 0.0000 0.0000 0.2501
Hg1 Hg 0.0000 0.0000 0.1271
Hg2 Hg 0.0000 0.0000 0.3777
# * density: 11533 kg/m³
# * M_tot: 4.8 Bohr magnetons per cell
# * ΔH_f (0 K): -40 kJ per mole of atoms



8.
# CeDyZnHg, optimized geometry, DFT PBE
data_CeDyZnHg
_cell_length_a 7.4068
_cell_length_b 7.4068
_cell_length_c 7.4068
_cell_angle_alpha 90.00
_cell_angle_beta 90.00
_cell_angle_gamma 90.00
_symmetry_space_group_name_H-M 'F -4 3 m'
_symmetry_Int_Tables_number 216
_symmetry_space_group_name_Hall 'F -4 2 3'
loop_
_atom_site_label
_atom_site_type_symbol
_atom_site_fract_x
_atom_site_fract_y
_atom_site_fract_z
Ce1 Ce 0.0000 0.0000 0.0000
Dy1 Dy 0.0000 0.0000 0.5000
Zn1 Zn 0.2500 0.2500 0.7500
Hg1 Hg 0.2500 0.2500 0.2500
# * density: 9295 kg/m³
# * M_tot: 6.6 Bohr magnetons per cell
# * ΔH_f (0 K): -28 kJ per mole of atoms